# PrAlPd6

PrAlPd6 after structural relaxation (PBE, the Alexandria database).

a b c (Å): 4.1418 4.1418 7.8833
angles (deg): 90.00 90.00 90.00
Last column: nearest neighbours and their distance in Å.
Atoms (fractional coordinates):
Pr: 0.0000 0.0000 0.0000  12 Pd 2.93-3.01
Al: 0.0000 0.0000 0.5000  12 Pd 2.72-2.93
Pd: 0.0000 0.5000 0.2770  2 Al 2.72, 8 Pd 2.72-3.01, 2 Pr 3.01
Pd: 0.0000 0.5000 0.7230  2 Al 2.72, 8 Pd 2.72-3.01, 2 Pr 3.01
Pd: 0.5000 0.0000 0.2770  2 Al 2.72, 8 Pd 2.72-3.01, 2 Pr 3.01
Pd: 0.5000 0.0000 0.7230  2 Al 2.72, 8 Pd 2.72-3.01, 2 Pr 3.01
Pd: 0.5000 0.5000 0.0000  4 Pr 2.93, 8 Pd 3.01
Pd: 0.5000 0.5000 0.5000  8 Pd 2.72, 4 Al 2.93

***

# PrAl5Pd7

PrAl5Pd7 after structural relaxation (PBE, the Alexandria database).

a b c (Å): 6.8530 6.8530 6.8530
angles (deg): 134.12 97.34 100.14
Last column: nearest neighbours and their distance in Å.
Atoms (fractional coordinates):
Pr: 0.0000 0.0000 0.0000  10 Pd 2.97-3.32
Al: 0.0040 0.4966 0.0131  7 Pd 2.55-2.79, 3 Al 2.64-2.72
Al: 0.0040 0.9909 0.5074  7 Pd 2.55-2.79, 3 Al 2.64-2.72
Al: 0.4835 0.4966 0.4926  7 Pd 2.55-2.79, 3 Al 2.64-2.72
Al: 0.4835 0.9909 0.9869  7 Pd 2.55-2.79, 3 Al 2.64-2.72
Al: 0.7659 0.2659 0.5000  6 Pd 2.67-2.82, 4 Al 2.72
Pd: 0.1896 0.4828 0.7068  5 Al 2.55-2.67, 1 Pd 2.84
Pd: 0.2250 0.7250 0.5000  4 Al 2.55, 2 Pd 2.84
Pd: 0.3436 0.3436 0.0000  4 Al 2.70, 5 Pd 2.80-2.92, 1 Pr 3.02
Pd: 0.3517 0.0089 0.3428  5 Al 2.64-2.78, 4 Pd 2.85-2.95
Pd: 0.6624 0.6624 0.0000  6 Al 2.79-2.82, 3 Pd 2.80-3.09, 1 Pr 2.97
Pd: 0.6662 0.0089 0.6572  5 Al 2.64-2.78, 4 Pd 2.85-2.95
Pd: 0.7760 0.4828 0.2932  5 Al 2.55-2.67, 1 Pd 2.84

***

# Pr3Al3Pd8

Pr3Al3Pd8 after structural relaxation (PBE, the Alexandria database).

a b c (Å): 8.3783 8.3783 8.3783
angles (deg): 149.57 110.45 77.78
Last column: nearest neighbours and their distance in Å.
Atoms (fractional coordinates):
Pr: 0.0000 0.0000 0.0000  12 Pd 3.19-3.44, 4 Al 3.44
Pr: 0.2937 0.2937 0.0000  10 Pd 3.05-3.40
Pr: 0.7063 0.7063 0.0000  10 Pd 3.05-3.40
Al: 0.2768 0.5000 0.7768  6 Pd 2.56-2.65
Al: 0.5000 0.0000 0.5000  4 Pd 2.43
Al: 0.7232 0.5000 0.2232  6 Pd 2.56-2.65
Pd: 0.0249 0.6721 0.3528  1 Al 2.56, 4 Pd 2.74-2.87
Pd: 0.1847 0.8880 0.2967  3 Al 2.43-2.65
Pd: 0.3194 0.6721 0.6472  1 Al 2.56, 4 Pd 2.74-2.87
Pd: 0.4086 0.1120 0.2967  3 Al 2.43-2.65
Pd: 0.5914 0.8880 0.7033  3 Al 2.43-2.65
Pd: 0.6806 0.3279 0.3528  1 Al 2.56, 4 Pd 2.74-2.87
Pd: 0.8153 0.1120 0.7033  3 Al 2.43-2.65
Pd: 0.9751 0.3279 0.6472  1 Al 2.56, 4 Pd 2.74-2.87

***

# PrAlPd4

PrAlPd4 after structural relaxation (PBE, the Alexandria database).

a b c (Å): 5.3907 5.3907 5.3907
angles (deg): 60.00 60.00 60.00
Last column: nearest neighbours and their distance in Å.
Atoms (fractional coordinates):
Pr: 0.0000 0.0000 0.0000  12 Pd 3.16, 4 Al 3.30
Al: 0.7500 0.7500 0.7500  12 Pd 3.16, 4 Pr 3.30
Pd: 0.3759 0.3759 0.3759  6 Pd 2.68-2.71
Pd: 0.3759 0.3759 0.8724  6 Pd 2.68-2.71
Pd: 0.3759 0.8724 0.3759  6 Pd 2.68-2.71
Pd: 0.8724 0.3759 0.3759  6 Pd 2.68-2.71

***

# PrAl2Pd

PrAl2Pd after structural relaxation (PBE, the Alexandria database).

a b c (Å): 16.0132 6.9995 5.9418
angles (deg): 90.00 90.00 90.00
Last column: nearest neighbours and their distance in Å.
Atoms (fractional coordinates):
Pr: 0.1045 0.2500 0.2253  3 Pd 3.07-3.38, 6 Al 3.22-3.34
Pr: 0.1385 0.7500 0.0140  3 Pd 3.07-3.23, 6 Al 3.20-3.43
Pr: 0.3615 0.2500 0.5140  3 Pd 3.07-3.23, 6 Al 3.20-3.43
Pr: 0.3955 0.7500 0.7253  3 Pd 3.07-3.38, 6 Al 3.22-3.34
Pr: 0.6045 0.2500 0.2747  3 Pd 3.07-3.38, 6 Al 3.22-3.34
Pr: 0.6385 0.7500 0.4860  3 Pd 3.07-3.23, 6 Al 3.20-3.43
Pr: 0.8615 0.2500 0.9860  3 Pd 3.07-3.23, 6 Al 3.20-3.43
Pr: 0.8955 0.7500 0.7747  3 Pd 3.07-3.38, 6 Al 3.22-3.34
Al: 0.0427 0.0586 0.7121  3 Pd 2.55-2.63, 1 Al 2.68
Al: 0.0427 0.4414 0.7121  3 Pd 2.55-2.63, 1 Al 2.68
Al: 0.2120 0.5556 0.5218  3 Pd 2.59-2.68, 1 Al 2.72
Al: 0.2120 0.9444 0.5218  3 Pd 2.59-2.68, 1 Al 2.72
Al: 0.2880 0.0556 0.0218  3 Pd 2.59-2.68, 1 Al 2.72
Al: 0.2880 0.4444 0.0218  3 Pd 2.59-2.68, 1 Al 2.72
Al: 0.4573 0.5586 0.2121  3 Pd 2.55-2.63, 1 Al 2.68
Al: 0.4573 0.9414 0.2121  3 Pd 2.55-2.63, 1 Al 2.68
Al: 0.5427 0.0586 0.7879  3 Pd 2.55-2.63, 1 Al 2.68
Al: 0.5427 0.4414 0.7879  3 Pd 2.55-2.63, 1 Al 2.68
Al: 0.7120 0.5556 0.9782  3 Pd 2.59-2.68, 1 Al 2.72
Al: 0.7120 0.9444 0.9782  3 Pd 2.59-2.68, 1 Al 2.72
Al: 0.7880 0.0556 0.4782  3 Pd 2.59-2.68, 1 Al 2.72
Al: 0.7880 0.4444 0.4782  3 Pd 2.59-2.68, 1 Al 2.72
Al: 0.9573 0.5586 0.2879  3 Pd 2.55-2.63, 1 Al 2.68
Al: 0.9573 0.9414 0.2879  3 Pd 2.55-2.63, 1 Al 2.68
Pd: 0.0726 0.7500 0.4997  6 Al 2.55-2.62
Pd: 0.1832 0.2500 0.7537  6 Al 2.59-2.68
Pd: 0.3168 0.7500 0.2537  6 Al 2.59-2.68
Pd: 0.4274 0.2500 0.9997  6 Al 2.55-2.62
Pd: 0.5726 0.7500 0.0003  6 Al 2.55-2.62
Pd: 0.6832 0.2500 0.7463  6 Al 2.59-2.68
Pd: 0.8168 0.7500 0.2463  6 Al 2.59-2.68
Pd: 0.9274 0.2500 0.5003  6 Al 2.55-2.62

***

# PrAl4Pd8

PrAl4Pd8 after structural relaxation (PBE, the Alexandria database).

a b c (Å): 6.8255 6.8255 6.8255
angles (deg): 98.98 98.98 133.45
Last column: nearest neighbours and their distance in Å.
Atoms (fractional coordinates):
Pr: 0.0000 0.0000 0.0000  12 Pd 3.00-3.35
Al: 0.0000 0.0000 0.5000  8 Pd 2.60-2.71, 2 Al 2.70
Al: 0.0000 0.5000 0.0000  8 Pd 2.60-2.71, 2 Al 2.70
Al: 0.5000 0.0000 0.0000  8 Pd 2.60-2.71, 2 Al 2.70
Al: 0.5000 0.5000 0.5000  8 Pd 2.60-2.71, 2 Al 2.70
Pd: 0.0000 0.3387 0.3387  4 Al 2.71, 5 Pd 2.83-2.88, 1 Pr 3.00
Pd: 0.0000 0.6613 0.6613  4 Al 2.71, 5 Pd 2.83-2.88, 1 Pr 3.00
Pd: 0.2756 0.5000 0.7756  4 Al 2.60, 6 Pd 2.81-2.88
Pd: 0.3387 0.0000 0.3387  4 Al 2.71, 5 Pd 2.83-2.88, 1 Pr 3.00
Pd: 0.5000 0.2756 0.7756  4 Al 2.60, 6 Pd 2.81-2.88
Pd: 0.5000 0.7244 0.2244  4 Al 2.60, 6 Pd 2.81-2.88
Pd: 0.6613 0.0000 0.6613  4 Al 2.71, 5 Pd 2.83-2.88, 1 Pr 3.00
Pd: 0.7244 0.5000 0.2244  4 Al 2.60, 6 Pd 2.81-2.88

***

# Pr3Al6Pd20

Pr3Al6Pd20 after structural relaxation (PBE, the Alexandria database).

a b c (Å): 8.8814 8.8814 8.8814
angles (deg): 60.00 60.00 60.00
Last column: nearest neighbours and their distance in Å.
Atoms (fractional coordinates):
Pr: 0.0000 0.0000 0.0000  12 Pd 3.07, 6 Al 3.42
Pr: 0.2500 0.2500 0.2500  4 Pd 2.88
Pr: 0.7500 0.7500 0.7500  4 Pd 2.88
Al: 0.2719 0.2719 0.7281  8 Pd 2.50-2.51
Al: 0.2719 0.7281 0.2719  8 Pd 2.50-2.51
Al: 0.2719 0.7281 0.7281  8 Pd 2.50-2.51
Al: 0.7281 0.2719 0.2719  8 Pd 2.50-2.51
Al: 0.7281 0.2719 0.7281  8 Pd 2.50-2.51
Al: 0.7281 0.7281 0.2719  8 Pd 2.50-2.51
Pd: 0.0000 0.0000 0.3457  2 Al 2.50, 1 Pd 2.74
Pd: 0.0000 0.0000 0.6543  2 Al 2.50, 1 Pd 2.74
Pd: 0.0000 0.3457 0.0000  2 Al 2.50, 1 Pd 2.74
Pd: 0.0000 0.3457 0.6543  2 Al 2.50, 1 Pd 2.74
Pd: 0.0000 0.6543 0.0000  2 Al 2.50, 1 Pd 2.74
Pd: 0.0000 0.6543 0.3457  2 Al 2.50, 1 Pd 2.74
Pd: 0.1473 0.6176 0.6176  3 Al 2.51
Pd: 0.3457 0.0000 0.0000  2 Al 2.50, 1 Pd 2.74
Pd: 0.3457 0.0000 0.6543  2 Al 2.50, 1 Pd 2.74
Pd: 0.3457 0.6543 0.0000  2 Al 2.50, 1 Pd 2.74
Pd: 0.3824 0.3824 0.3824  3 Al 2.51
Pd: 0.3824 0.3824 0.8527  3 Al 2.51
Pd: 0.3824 0.8527 0.3824  3 Al 2.51
Pd: 0.6176 0.1473 0.6176  3 Al 2.51
Pd: 0.6176 0.6176 0.1473  3 Al 2.51
Pd: 0.6176 0.6176 0.6176  3 Al 2.51
Pd: 0.6543 0.0000 0.0000  2 Al 2.50, 1 Pd 2.74
Pd: 0.6543 0.0000 0.3457  2 Al 2.50, 1 Pd 2.74
Pd: 0.6543 0.3457 0.0000  2 Al 2.50, 1 Pd 2.74
Pd: 0.8527 0.3824 0.3824  3 Al 2.51

***

# PrAl2Pd5

PrAl2Pd5 after structural relaxation (PBE, the Alexandria database).

a b c (Å): 6.5069 6.5069 6.5069
angles (deg): 144.54 114.25 76.99
Last column: nearest neighbours and their distance in Å.
Atoms (fractional coordinates):
Pr: 0.0000 0.0000 0.0000  10 Pd 3.26-3.53, 4 Al 3.32
Al: 0.2618 0.7618 0.5000  7 Pd 2.43-2.61
Al: 0.7382 0.2382 0.5000  7 Pd 2.43-2.61
Pd: 0.1570 0.3555 0.8015  3 Al 2.44-2.61
Pd: 0.4461 0.6445 0.8015  3 Al 2.44-2.61
Pd: 0.5000 0.0000 0.5000  2 Al 2.43
Pd: 0.5539 0.3555 0.1985  3 Al 2.44-2.61
Pd: 0.8430 0.6445 0.1985  3 Al 2.44-2.61

***

| no. | total DFT energy (no corrections) (eV per atom) |
| --- | --- |
| 1 | -5.6194 |
| 2 | -5.3854 |
| 3 | -5.5588 |
| 4 | -5.4773 |
| 5 | -5.0733 |
| 6 | -5.5114 |
| 7 | -5.5931 |
| 8 | -5.5546 |